# 1
La2Tb3Ru2, optimized geometry, DFT PBE; calculated formation energy = -300 meV/atom; electronic total energy = -6.343 eV per atom; crystal system = monoclinic; density of states at the Fermi level = 4.89 states/eV/cell
1.0
6.140 -1.949 0.000
6.140 1.949 0.000
-3.850 0.000 8.146
La Tb Ru
2 3 2
Cartesian
0.909 0.000 2.429 La
7.522 0.000 5.717 La
4.334 0.000 0.657 Tb
4.215 0.000 4.073 Tb
4.097 0.000 7.489 Tb
-0.581 0.000 5.988 Ru
9.012 0.000 2.158 Ru

=====

# 2
LaTbRu, optimized geometry, DFT PBE; calculated formation energy = -155 meV/atom; electronic total energy = -6.433 eV per atom; crystal system = monoclinic; density of states at the Fermi level = 7.75 states/eV/cell
1.0
9.768 -2.289 0.000
9.768 2.289 0.000
-0.515 0.000 7.681
La Tb Ru
4 4 4
Cartesian
1.014 0.000 2.539 La
7.897 0.000 1.129 La
11.124 0.000 6.552 La
18.007 0.000 5.142 La
3.804 0.000 4.756 Tb
4.081 0.000 0.925 Tb
14.940 0.000 6.756 Tb
15.217 0.000 2.924 Tb
6.745 0.000 3.776 Ru
6.738 0.000 6.350 Ru
12.283 0.000 1.331 Ru
12.276 0.000 3.905 Ru

=====

# 3
LaTbRu, optimized geometry, DFT PBE; calculated formation energy = -255 meV/atom; electronic total energy = -6.533 eV per atom; crystal system = monoclinic; density of states at the Fermi level = 5.87 states/eV/cell
1.0
6.645 0.000 0.000
0.000 6.960 0.000
-6.414 0.000 7.697
La Tb Ru
4 4 4
Cartesian
-1.461 0.495 2.993 La
-4.668 2.985 6.842 La
4.900 3.974 0.855 La
1.693 6.465 4.704 La
-1.457 3.970 4.690 Tb
1.750 6.470 0.841 Tb
-1.518 0.490 6.856 Tb
1.689 2.990 3.007 Tb
0.007 5.194 2.589 Ru
-3.200 5.246 6.437 Ru
3.432 1.714 1.260 Ru
0.225 1.766 5.108 Ru

=====

# 4
LaTb2Ru, optimized geometry, DFT PBE; calculated formation energy = -285 meV/atom; electronic total energy = -6.151 eV per atom; crystal system = orthorhombic; density of states at the Fermi level = 17.89 states/eV/cell
1.0
7.298 0.000 0.000
0.000 9.540 0.000
0.000 0.000 6.484
La Tb Ru
4 8 4
Cartesian
0.373 2.385 0.880 La
3.276 7.155 4.122 La
4.022 2.385 2.362 La
6.925 7.155 5.604 La
1.262 0.642 4.337 Tb
1.262 4.128 4.337 Tb
2.387 5.412 1.095 Tb
2.387 8.898 1.095 Tb
4.910 0.642 5.390 Tb
4.910 4.128 5.390 Tb
6.036 5.412 2.147 Tb
6.036 8.898 2.147 Tb
0.902 7.155 2.965 Ru
2.747 2.385 6.207 Ru
4.550 7.155 0.277 Ru
6.396 2.385 3.519 Ru